[1]
DFT (PBE-GGA) results for a geometry-optimized HfScHg2Rh structure.

abc: 5.1777 5.1777 4.5839
angles: 90.00 90.00 90.00
Element x y z (fractional)
Hf: 0.0000 0.0000 0.0000
Sc: 0.5000 0.5000 0.0000
Hg: 0.0000 0.5000 0.5000
Hg: 0.5000 0.0000 0.5000
Rh: 0.5000 0.5000 0.5000

The value obtained for the formation enthalpy at 0 K is 0.3932 eV/atom. The calculation puts the total energy at -22.274 eV/cell. The calculation puts the spin magnetization at 0.77 μB per formula unit.

***

[2]
DFT (PBE-GGA) results for a geometry-optimized CuSbHAu2 structure.

abc: 3.9932 3.9932 5.0781
angles: 90.00 90.00 90.00
Element x y z (fractional)
Cu: 0.0000 0.0000 0.0000
Sb: 0.5000 0.5000 0.0000
H: 0.5000 0.5000 0.5000
Au: 0.0000 0.5000 0.5000
Au: 0.5000 0.0000 0.5000

The calculation puts the total energy at -16.519 eV/cell. The calculation puts the spin magnetization at 0.00 μB per formula unit.

***

[3]
DFT (PBE-GGA) results for a geometry-optimized LaPmMgZn structure.

abc: 7.6086 7.6086 7.6086
angles: 90.00 90.00 90.00
Element x y z (fractional)
La: 0.0000 0.0000 0.0000
La: 0.0000 0.5000 0.5000
La: 0.5000 0.0000 0.5000
La: 0.5000 0.5000 0.0000
Pm: 0.0000 0.0000 0.5000
Pm: 0.0000 0.5000 0.0000
Pm: 0.5000 0.0000 0.0000
Pm: 0.5000 0.5000 0.5000
Mg: 0.2500 0.2500 0.7500
Mg: 0.2500 0.7500 0.2500
Mg: 0.7500 0.2500 0.2500
Mg: 0.7500 0.7500 0.7500
Zn: 0.2500 0.2500 0.2500
Zn: 0.2500 0.7500 0.7500
Zn: 0.7500 0.2500 0.7500
Zn: 0.7500 0.7500 0.2500

The calculation puts the distance to the lowest polymorph of the same formula at 30.1 meV/atom. The value obtained for the formation enthalpy at 0 K is -0.1813 eV/atom. The calculation puts the total energy at -53.088 eV/cell. The calculation puts the spin magnetization at 0.00 μB per formula unit.

***

[4]
DFT (PBE-GGA) results for a geometry-optimized CsTl10Cd3 structure.

abc: 11.0320 11.0320 11.0320
angles: 60.00 60.00 60.00
Element x y z (fractional)
Cs: 0.2500 0.2500 0.2500
Cs: 0.7500 0.7500 0.7500
Tl: 0.0000 0.0000 0.3475
Tl: 0.0000 0.0000 0.6525
Tl: 0.0000 0.3475 0.0000
Tl: 0.0000 0.3475 0.6525
Tl: 0.0000 0.6525 0.0000
Tl: 0.0000 0.6525 0.3475
Tl: 0.1601 0.6133 0.6133
Tl: 0.3475 0.0000 0.0000
Tl: 0.3475 0.0000 0.6525
Tl: 0.3475 0.6525 0.0000
Tl: 0.3867 0.3867 0.3867
Tl: 0.3867 0.3867 0.8399
Tl: 0.3867 0.8399 0.3867
Tl: 0.6133 0.1601 0.6133
Tl: 0.6133 0.6133 0.1601
Tl: 0.6133 0.6133 0.6133
Tl: 0.6525 0.0000 0.0000
Tl: 0.6525 0.0000 0.3475
Tl: 0.6525 0.3475 0.0000
Tl: 0.8399 0.3867 0.3867
Cd: 0.2635 0.2635 0.7365
Cd: 0.2635 0.7365 0.2635
Cd: 0.2635 0.7365 0.7365
Cd: 0.7365 0.2635 0.2635
Cd: 0.7365 0.2635 0.7365
Cd: 0.7365 0.7365 0.2635

The value obtained for the formation enthalpy at 0 K is 0.0791 eV/atom. The calculation puts the total energy at -52.309 eV/cell. The calculation puts the spin magnetization at 0.00 μB per formula unit.

***

[5]
DFT (PBE-GGA) results for a geometry-optimized SrTi4P6O24 structure.

abc: 9.0303 9.0303 9.0303
angles: 56.02 56.02 56.02
Element x y z (fractional)
Sr: 0.0000 0.0000 0.0000
Ti: 0.1497 0.1497 0.1497
Ti: 0.3562 0.3562 0.3562
Ti: 0.6438 0.6438 0.6438
Ti: 0.8503 0.8503 0.8503
P: 0.0305 0.4628 0.7514
P: 0.2486 0.9695 0.5372
P: 0.4628 0.7514 0.0305
P: 0.5372 0.2486 0.9695
P: 0.7514 0.0305 0.4628
P: 0.9695 0.5372 0.2486
O: 0.9997 0.3731 0.2107
O: 0.0003 0.6269 0.7893
O: 0.0915 0.9066 0.7298
O: 0.0934 0.2702 0.9085
O: 0.1555 0.5181 0.2376
O: 0.1892 0.4635 0.5540
O: 0.2107 0.9997 0.3731
O: 0.2376 0.1555 0.5181
O: 0.2702 0.9085 0.0934
O: 0.3731 0.2107 0.9997
O: 0.4460 0.8107 0.5365
O: 0.4635 0.5540 0.1893
O: 0.4819 0.7624 0.8445
O: 0.5181 0.2376 0.1555
O: 0.5365 0.4460 0.8108
O: 0.5540 0.1892 0.4635
O: 0.6269 0.7893 0.0003
O: 0.7298 0.0915 0.9066
O: 0.7624 0.8445 0.4819
O: 0.7893 0.0003 0.6269
O: 0.8107 0.5365 0.4460
O: 0.8445 0.4819 0.7624
O: 0.9066 0.7298 0.0915
O: 0.9085 0.0934 0.2702

The calculation puts the total energy at -276.596 eV/cell. The calculation puts the formation energy without anion corrections at -2.6251 eV per atom. The calculation puts the spin magnetization at 0.00 μB per formula unit.

***

[6]
DFT (PBE-GGA) results for a geometry-optimized Li2AgRhN structure.

abc: 4.1336 4.1336 3.8183
angles: 90.00 90.00 90.00
Element x y z (fractional)
Li: 0.0000 0.5000 0.0000
Li: 0.5000 0.0000 0.0000
Ag: 0.0000 0.0000 0.5000
Rh: 0.5000 0.5000 0.5000
N: 0.5000 0.5000 0.0000

The calculation puts the total energy at -23.544 eV/cell. The calculation puts the formation energy without anion corrections at -0.2377 eV per atom. The calculation puts the spin magnetization at 0.00 μB per formula unit.

***

[7]
DFT (PBE-GGA) results for a geometry-optimized Dy3YN structure.

abc: 4.9661 4.9661 4.9661
angles: 90.00 90.00 90.00
Element x y z (fractional)
Dy: 0.0000 0.0000 0.5000
Dy: 0.0000 0.5000 0.0000
Dy: 0.5000 0.0000 0.0000
Y: 0.5000 0.5000 0.5000
N: 0.0000 0.0000 0.0000

The calculation puts the total energy at -31.217 eV/cell. The calculation puts the formation energy without anion corrections at -0.5242 eV per atom. The calculation puts the spin magnetization at 0.00 μB per formula unit.

***

[8]
DFT (PBE-GGA) results for a geometry-optimized Nd3Ge5Te12 structure.

abc: 15.1789 15.1789 15.1789
angles: 109.47 109.47 109.47
Element x y z (fractional)
Nd: 0.1250 0.2500 0.3750
Nd: 0.1250 0.3750 0.7500
Nd: 0.2500 0.3750 0.1250
Nd: 0.2500 0.8750 0.6250
Nd: 0.3750 0.1250 0.2500
Nd: 0.3750 0.7500 0.1250
Nd: 0.6250 0.2500 0.8750
Nd: 0.6250 0.8750 0.7500
Nd: 0.7500 0.1250 0.3750
Nd: 0.7500 0.6250 0.8750
Nd: 0.8750 0.6250 0.2500
Nd: 0.8750 0.7500 0.6250
Ge: 0.0000 0.0000 0.0000
Ge: 0.0000 0.0000 0.5000
Ge: 0.0000 0.5000 0.0000
Ge: 0.0000 0.5000 0.5000
Ge: 0.1250 0.7500 0.8750
Ge: 0.1250 0.8750 0.2500
Ge: 0.2500 0.1250 0.8750
Ge: 0.2500 0.6250 0.3750
Ge: 0.3750 0.2500 0.6250
Ge: 0.3750 0.6250 0.7500
Ge: 0.5000 0.0000 0.0000
Ge: 0.5000 0.0000 0.5000
Ge: 0.5000 0.5000 0.0000
Ge: 0.5000 0.5000 0.5000
Ge: 0.6250 0.3750 0.2500
Ge: 0.6250 0.7500 0.3750
Ge: 0.7500 0.3750 0.6250
Ge: 0.7500 0.8750 0.1250
Ge: 0.8750 0.1250 0.7500
Ge: 0.8750 0.2500 0.1250
Te: 0.0384 0.2146 0.1280
Te: 0.0384 0.3238 0.9103
Te: 0.0865 0.7146 0.6762
Te: 0.0865 0.8720 0.4103
Te: 0.0897 0.6280 0.4135
Te: 0.0897 0.9616 0.6762
Te: 0.1280 0.0384 0.2146
Te: 0.1280 0.5897 0.9135
Te: 0.1762 0.2146 0.5865
Te: 0.1762 0.4616 0.5897
Te: 0.2146 0.1280 0.0384
Te: 0.2146 0.5865 0.1762
Te: 0.2854 0.3238 0.9135
Te: 0.2854 0.4616 0.3720
Te: 0.3238 0.9103 0.0384
Te: 0.3238 0.9135 0.2854
Te: 0.3720 0.2854 0.4616
Te: 0.3720 0.5865 0.9103
Te: 0.4103 0.0865 0.8720
Te: 0.4103 0.8238 0.5384
Te: 0.4135 0.0897 0.6280
Te: 0.4135 0.8238 0.7854
Te: 0.4616 0.3720 0.2854
Te: 0.4616 0.5897 0.1762
Te: 0.5384 0.4103 0.8238
Te: 0.5384 0.6280 0.7146
Te: 0.5865 0.1762 0.2146
Te: 0.5865 0.9103 0.3720
Te: 0.5897 0.1762 0.4616
Te: 0.5897 0.9135 0.1280
Te: 0.6280 0.4135 0.0897
Te: 0.6280 0.7146 0.5384
Te: 0.6762 0.0865 0.7146
Te: 0.6762 0.0897 0.9616
Te: 0.7146 0.5384 0.6280
Te: 0.7146 0.6762 0.0865
Te: 0.7854 0.4135 0.8238
Te: 0.7854 0.8720 0.9616
Te: 0.8238 0.5384 0.4103
Te: 0.8238 0.7854 0.4135
Te: 0.8720 0.4103 0.0865
Te: 0.8720 0.9616 0.7854
Te: 0.9103 0.0384 0.3238
Te: 0.9103 0.3720 0.5865
Te: 0.9135 0.1280 0.5897
Te: 0.9135 0.2854 0.3238
Te: 0.9616 0.6762 0.0897
Te: 0.9616 0.7854 0.8720

The calculation puts the total energy at -342.384 eV/cell. The calculation puts the formation energy without anion corrections at -0.5253 eV per atom. The calculation puts the spin magnetization at 0.00 μB per formula unit.

***

[9]
DFT (PBE-GGA) results for a geometry-optimized TaCoSe2 structure.

abc: 6.1400 7.9868 3.1627
angles: 90.00 119.03 90.00
Element x y z (fractional)
Ta: 0.0000 0.0000 0.0000
Ta: 0.5000 0.5000 0.0000
Co: 0.0000 0.5000 0.0000
Co: 0.5000 0.0000 0.0000
Se: 0.2500 0.2500 0.5000
Se: 0.2500 0.7500 0.5000
Se: 0.7500 0.2500 0.5000
Se: 0.7500 0.7500 0.5000

The calculation puts the total energy at -49.270 eV/cell. The calculation puts the formation energy without anion corrections at 0.3232 eV per atom. The calculation puts the spin magnetization at 0.28 μB per formula unit.

***

[10]
DFT (PBE-GGA) results for a geometry-optimized AsPd5Au structure.

abc: 4.0357 4.0357 7.0952
angles: 90.00 90.00 90.00
Element x y z (fractional)
As: 0.0000 0.0000 0.0000
Pd: 0.0000 0.5000 0.2089
Pd: 0.0000 0.5000 0.7911
Pd: 0.5000 0.0000 0.2089
Pd: 0.5000 0.0000 0.7911
Pd: 0.5000 0.5000 0.5000
Au: 0.0000 0.0000 0.5000

The value obtained for the formation enthalpy at 0 K is -0.2278 eV/atom. The calculation puts the total energy at -35.486 eV/cell. The calculation puts the spin magnetization at 0.00 μB per formula unit.

***

[11]
DFT (PBE-GGA) results for a geometry-optimized Pu3Si4Au structure.

abc: 4.1753 5.7866 14.7497
angles: 90.00 90.00 90.00
Element x y z (fractional)
Pu: 0.0000 0.0000 0.0000
Pu: 0.0000 0.5000 0.1966
Pu: 0.0000 0.5000 0.8034
Pu: 0.5000 0.0000 0.3034
Pu: 0.5000 0.0000 0.6966
Pu: 0.5000 0.5000 0.5000
Si: 0.0000 0.2962 0.3784
Si: 0.0000 0.2962 0.6216
Si: 0.0000 0.7038 0.3784
Si: 0.0000 0.7038 0.6216
Si: 0.5000 0.2038 0.1216
Si: 0.5000 0.2038 0.8784
Si: 0.5000 0.7962 0.1216
Si: 0.5000 0.7962 0.8784
Au: 0.0000 0.0000 0.5000
Au: 0.5000 0.5000 0.0000

The calculation puts the total energy at -139.724 eV/cell. The calculation puts the formation energy without anion corrections at -0.2371 eV per atom. The calculation puts the spin magnetization at 16.09 μB per formula unit.

***

[12]
DFT (PBE-GGA) results for a geometry-optimized La2CoGe3 structure.

abc: 8.4903 8.4367 6.0651
angles: 69.48 68.53 41.99
Element x y z (fractional)
La: 0.2488 0.7512 0.2488
La: 0.2500 0.2500 0.2500
La: 0.7500 0.7500 0.7500
La: 0.7512 0.2488 0.7512
Co: 0.1657 0.1657 0.8343
Co: 0.8343 0.8343 0.1657
Ge: 0.1526 0.6733 0.8474
Ge: 0.3258 0.3258 0.6742
Ge: 0.3267 0.8474 0.6733
Ge: 0.6733 0.1526 0.3267
Ge: 0.6742 0.6742 0.3258
Ge: 0.8474 0.3267 0.1526

The calculation puts the distance to the lowest polymorph of the same formula at 0.0 meV/atom. The value obtained for the formation enthalpy at 0 K is -0.7184 eV/atom. The calculation puts the total energy at -70.247 eV/cell. The calculation puts the spin magnetization at 0.00 μB per formula unit.

***

[13]
DFT (PBE-GGA) results for a geometry-optimized NdCoH3 structure.

abc: 5.0777 5.0776 4.8996
angles: 90.00 121.07 90.00
Element x y z (fractional)
Nd: 0.0000 0.0000 0.0000
Nd: 0.5000 0.5000 0.0000
Co: 0.1650 0.5000 0.3314
Co: 0.6650 0.0000 0.3314
H: 0.4464 0.2500 0.3943
H: 0.4464 0.7500 0.3943
H: 0.4742 0.0000 0.9485
H: 0.9464 0.2500 0.3943
H: 0.9464 0.7500 0.3943
H: 0.9742 0.5000 0.9485

The calculation puts the total energy at -46.350 eV/cell. The calculation puts the spin magnetization at 0.52 μB per formula unit.

***

[14]
DFT (PBE-GGA) results for a geometry-optimized Tm2LuPb structure.

abc: 4.7903 4.7903 4.8042
angles: 90.00 90.00 90.00
Element x y z (fractional)
Tm: 0.0000 0.5000 0.0000
Tm: 0.5000 0.0000 0.0000
Lu: 0.0000 0.0000 0.5000
Pb: 0.5000 0.5000 0.5000

The calculation puts the distance to the lowest polymorph of the same formula at 0.0 meV/atom. The value obtained for the formation enthalpy at 0 K is -0.2320 eV/atom. The calculation puts the total energy at -18.100 eV/cell. The calculation puts the spin magnetization at 0.90 μB per formula unit.

***

[15]
DFT (PBE-GGA) results for a geometry-optimized GeMo3Br structure.

abc: 4.6179 4.6179 4.6179
angles: 90.00 90.00 90.00
Element x y z (fractional)
Ge: 0.0000 0.0000 0.0000
Mo: 0.0000 0.5000 0.5000
Mo: 0.5000 0.0000 0.5000
Mo: 0.5000 0.5000 0.0000
Br: 0.5000 0.5000 0.5000

The calculation puts the distance to the lowest polymorph of the same formula at 0.0 meV/atom. The calculation puts the total energy at -30.484 eV/cell. The calculation puts the formation energy without anion corrections at 1.6600 eV per atom. The calculation puts the spin magnetization at 0.68 μB per formula unit.

***

[16]
DFT (PBE-GGA) results for a geometry-optimized LiTmGe2 structure.

abc: 6.8215 6.8215 6.8215
angles: 90.00 90.00 90.00
Element x y z (fractional)
Li: 0.0000 0.0000 0.0000
Li: 0.0000 0.5000 0.5000
Li: 0.5000 0.0000 0.5000
Li: 0.5000 0.5000 0.0000
Tm: 0.0000 0.0000 0.5000
Tm: 0.0000 0.5000 0.0000
Tm: 0.5000 0.0000 0.0000
Tm: 0.5000 0.5000 0.5000
Ge: 0.2500 0.2500 0.2500
Ge: 0.2500 0.2500 0.7500
Ge: 0.2500 0.7500 0.2500
Ge: 0.2500 0.7500 0.7500
Ge: 0.7500 0.2500 0.2500
Ge: 0.7500 0.2500 0.7500
Ge: 0.7500 0.7500 0.2500
Ge: 0.7500 0.7500 0.7500

The calculation puts the distance to the lowest polymorph of the same formula at 181.0 meV/atom. The value obtained for the formation enthalpy at 0 K is -0.3963 eV/atom. The calculation puts the total energy at -68.821 eV/cell. The calculation puts the spin magnetization at 0.00 μB per formula unit.

***

[17]
DFT (PBE-GGA) results for a geometry-optimized Gd2ScTl structure.

abc: 4.7838 4.7838 4.7668
angles: 90.00 90.00 90.00
Element x y z (fractional)
Gd: 0.0000 0.5000 0.0000
Gd: 0.5000 0.0000 0.0000
Sc: 0.0000 0.0000 0.5000
Tl: 0.5000 0.5000 0.5000

The calculation puts the distance to the lowest polymorph of the same formula at 0.0 meV/atom. The value obtained for the formation enthalpy at 0 K is -0.2020 eV/atom. The calculation puts the total energy at -37.667 eV/cell. The calculation puts the spin magnetization at 15.76 μB per formula unit.

***

[18]
DFT (PBE-GGA) results for a geometry-optimized CaTb4In4 structure.

abc: 9.7929 9.7929 6.2539
angles: 90.00 90.00 90.00
Element x y z (fractional)
Ca: 0.2500 0.2500 0.2500
Ca: 0.7500 0.7500 0.7500
Tb: 0.0829 0.6534 0.1310
Tb: 0.1534 0.9171 0.6310
Tb: 0.3466 0.5829 0.6310
Tb: 0.4171 0.8466 0.1310
Tb: 0.5829 0.1534 0.8690
Tb: 0.6534 0.4171 0.3690
Tb: 0.8466 0.0829 0.3690
Tb: 0.9171 0.3466 0.8690
In: 0.0292 0.6147 0.6348
In: 0.1147 0.9708 0.1348
In: 0.3853 0.5292 0.1348
In: 0.4708 0.8853 0.6348
In: 0.5292 0.1147 0.3652
In: 0.6147 0.4708 0.8652
In: 0.8853 0.0292 0.8652
In: 0.9708 0.3853 0.3652

The value obtained for the formation enthalpy at 0 K is -0.1837 eV/atom. The calculation puts the total energy at -66.259 eV/cell. The calculation puts the spin magnetization at 0.00 μB per formula unit.

***

[19]
DFT (PBE-GGA) results for a geometry-optimized KZrHgCl6 structure.

abc: 7.3693 7.3693 6.1979
angles: 90.00 90.00 120.00
Element x y z (fractional)
K: 0.0000 0.0000 0.0000
Zr: 0.6667 0.3333 0.0000
Hg: 0.3333 0.6667 0.5000
Cl: 0.3943 0.0517 0.7673
Cl: 0.3943 0.3426 0.2327
Cl: 0.6574 0.0517 0.2327
Cl: 0.6574 0.6057 0.7673
Cl: 0.9483 0.3426 0.7673
Cl: 0.9483 0.6057 0.2327

The calculation puts the total energy at -34.106 eV/cell. The calculation puts the formation energy without anion corrections at -1.4532 eV per atom. The calculation puts the spin magnetization at 0.47 μB per formula unit.